<one>
CeSm2Ga3 | PBE-GGA | relaxed

Computed properties:
For the density of states at the Fermi level, the calculation gives 14.968 states/eV per cell. The calculated density comes out at 7.40 g/cm³. The value obtained for the calculated volume is 291.6 Å³ per cell. The value obtained for the total moment is 1.55 Bohr magnetons per cell.

Cell lengths 5.1546, 5.1546, 12.6716 Å; angles 90.00, 90.00, 120.00 degrees
Space group P-3m1 (No. 164)
Symmetry-distinct sites (fractional):
Ce (0.3333, 0.6667, 0.1649)
Sm (0.0000, 0.0000, 0.0000)
Sm (0.0000, 0.0000, 0.5000)
Sm (0.3333, 0.6667, 0.6655)
Ga (0.0000, 0.0000, 0.2507)
Ga (0.3333, 0.6667, 0.4165)
Ga (0.3333, 0.6667, 0.9158)


<two>
CeSm2Ga3 | PBE-GGA | relaxed

Computed properties:
For the density of states at the Fermi level, the calculation gives 17.024 states/eV per cell. The calculated density comes out at 7.35 g/cm³. The value obtained for the calculated volume is 293.7 Å³ per cell. The value obtained for the total moment is 1.68 Bohr magnetons per cell.

Cell lengths 6.2361, 6.2361, 8.7219 Å; angles 90.00, 90.00, 120.00 degrees
Space group P-3m1 (No. 164)
Symmetry-distinct sites (fractional):
Ce (0.3333, 0.6667, 0.4252)
Sm (0.0000, 0.0000, 0.0000)
Sm (0.0000, 0.0000, 0.5000)
Sm (0.3333, 0.6667, 0.0672)
Ga (0.1917, 0.3835, 0.7493)


Pick <one>: it beats the second-best structure by 6.2 kJ/mol of atoms.


<one>
CeGaSn | PBE-GGA | relaxed

Computed properties:
For the density of states at the Fermi level, the calculation gives 13.936 states/eV per cell. The calculated density comes out at 7.33 g/cm³. The value obtained for the calculated volume is 148.8 Å³ per cell. The value obtained for the total moment is 3.12 Bohr magnetons per cell.

Cell lengths 3.623, 3.623, 11.340 Å; angles 90.00, 90.00, 90.00 degrees
Space group I4mm (No. 107)
Symmetry-distinct sites (fractional):
Ce (0.000, 0.000, 0.000)
Ga (0.000, 0.000, 0.677)
Sn (0.000, 0.000, 0.302)


<two>
CeGaSn | PBE-GGA | relaxed

Computed properties:
For the density of states at the Fermi level, the calculation gives 5.561 states/eV per cell. The calculated density comes out at 6.95 g/cm³. The value obtained for the calculated volume is 78.5 Å³ per cell. The value obtained for the total moment is 1.28 Bohr magnetons per cell.

Cell lengths 5.0517, 5.0517, 3.5530 Å; angles 90.00, 90.00, 120.00 degrees
Space group P-6m2 (No. 187)
Symmetry-distinct sites (fractional):
Ce (0.0000, 0.0000, 0.0000)
Ga (0.3333, 0.6667, 0.0000)
Sn (0.6667, 0.3333, 0.5000)


Pick <one>: it beats the second-best structure by 15.3 kJ/mol of atoms.